Below is a geometry-optimized Er2LuIn structure, with properties calculated at the PBE level.

Structure (CIF):
```
data_Er2LuIn
_cell_length_a 3.523
_cell_length_b 3.523
_cell_length_c 9.136
_cell_angle_alpha 90.00
_cell_angle_beta 90.00
_cell_angle_gamma 90.00
_space_group_name_H-M_alt 'P 1'
_space_group_IT_number 1
loop_
_space_group_symop_operation_xyz
'x,y,z'
loop_
_atom_site_label
_atom_site_type_symbol
_atom_site_fract_x
_atom_site_fract_y
_atom_site_fract_z
Er1 Er 0.000 0.000 0.768
Er2 Er 0.000 0.000 0.232
In1 In 0.500 0.500 0.000
Lu1 Lu 0.500 0.500 0.500
```

Summary:
The energy above the lowest structure with this stoichiometry is 0.030 eV/atom.

Below is a geometry-optimized TiBeB structure, with properties calculated at the PBE level.

Structure (CIF):
```
data_TiBeB
_cell_length_a 3.205
_cell_length_b 3.205
_cell_length_c 3.894
_cell_angle_alpha 114.30
_cell_angle_beta 114.30
_cell_angle_gamma 90.00
_space_group_name_H-M_alt 'P 1'
_space_group_IT_number 1
loop_
_space_group_symop_operation_xyz
'x,y,z'
loop_
_atom_site_label
_atom_site_type_symbol
_atom_site_fract_x
_atom_site_fract_y
_atom_site_fract_z
Ti1 Ti 0.950 0.950 0.900
Be1 Be 0.593 0.593 0.186
B1 B 0.307 0.307 0.614
```

Summary:
The energy above the lowest structure with this stoichiometry is 0.965 eV/atom.

Below is a geometry-optimized ErZrCd4 structure, with properties calculated at the PBE level.

Structure (CIF):
```
data_ErZrCd4
_cell_length_a 4.893
_cell_length_b 4.892
_cell_length_c 6.622
_cell_angle_alpha 90.00
_cell_angle_beta 90.00
_cell_angle_gamma 120.00
_space_group_name_H-M_alt 'P 1'
_space_group_IT_number 1
loop_
_space_group_symop_operation_xyz
'x,y,z'
loop_
_atom_site_label
_atom_site_type_symbol
_atom_site_fract_x
_atom_site_fract_y
_atom_site_fract_z
Cd1 Cd 0.671 0.833 0.235
Cd2 Cd 0.671 0.833 0.761
Cd3 Cd 0.337 0.166 0.761
Cd4 Cd 0.337 0.166 0.235
Er1 Er 0.004 0.499 0.498
Zr1 Zr 0.004 0.499 0.998
```

Summary:
The energy above the lowest structure with this stoichiometry is 0.000 eV/atom.

Below is a geometry-optimized Ca7Pr structure, with properties calculated at the PBE level.

Structure (CIF):
```
data_Ca7Pr
_cell_length_a 3.717
_cell_length_b 9.631
_cell_length_c 9.631
_cell_angle_alpha 78.45
_cell_angle_beta 78.88
_cell_angle_gamma 78.88
_space_group_name_H-M_alt 'P 1'
_space_group_IT_number 1
loop_
_space_group_symop_operation_xyz
'x,y,z'
loop_
_atom_site_label
_atom_site_type_symbol
_atom_site_fract_x
_atom_site_fract_y
_atom_site_fract_z
Ca1 Ca 0.741 0.758 0.758
Ca2 Ca 0.373 0.868 0.385
Ca3 Ca 0.627 0.615 0.132
Ca4 Ca 0.373 0.385 0.868
Ca5 Ca 0.259 0.242 0.242
Ca6 Ca 0.000 0.500 0.500
Ca7 Ca 0.627 0.132 0.615
Pr1 Pr 0.000 0.000 0.000
```

Summary:
The calculated total energy is -2.286 eV/atom.

What DOS at the Fermi energy values result from the calculations? In sequence: 4.0; 2.0; 4.5; 11.6 states/eV/cell.